PmDySeN after structural relaxation, computed with PBE.

Values from the calculation:
Fermi-level density of states   0.2435 states/eV per atom
Energy relative to the elements, uncorrected   -1676 meV per atom

a = 3.7258 Å, b = 3.7258 Å, c = 19.9232 Å
α = 90.00°, β = 90.00°, γ = 120.00°
Sites, in units of the cell vectors:
Pm: 0.0000 0.0000 0.0000
Pm: 0.3333 0.6667 0.6667
Pm: 0.6667 0.3333 0.3333
Dy: 0.0000 0.0000 0.4667
Dy: 0.3333 0.6667 0.1334
Dy: 0.6667 0.3333 0.8001
Se: 0.0000 0.0000 0.2306
Se: 0.3333 0.6667 0.8973
Se: 0.6667 0.3333 0.5639
N: 0.0000 0.0000 0.7386
N: 0.3333 0.6667 0.4052
N: 0.6667 0.3333 0.0719